# 1
Compound: InIOF2
Source: Alexandria
Functional: GGA-PBE
Structure: optimized geometry

Total magnetic moment (Bohr magnetons per cell): 0.000
E above lowest polymorph (meV/atom): 0.0

The structure in CIF format:
```
data_InIOF2
_chemical_formula_sum 'In1 I1 O1 F2'
_space_group_name_H-M_alt 'P 4/m m m'
_space_group_IT_number 123
_space_group_name_Hall '-P 4 2'
_cell_length_a 4.312
_cell_length_b 4.312
_cell_length_c 4.809
_cell_angle_alpha 90.00
_cell_angle_beta 90.00
_cell_angle_gamma 90.00
loop_
_atom_site_label
_atom_site_type_symbol
_atom_site_fract_x
_atom_site_fract_y
_atom_site_fract_z
_atom_site_occupancy
In1 In 0.000 0.000 0.000 1
I1 I 0.500 0.500 0.500 1
O1 O 0.000 0.000 0.500 1
F1 F 0.000 0.500 0.000 1
```



# 2
Compound: InIOF2
Source: Alexandria
Functional: GGA-PBE
Structure: optimized geometry

Total magnetic moment (Bohr magnetons per cell): 0.000
E above lowest polymorph (meV/atom): 354.1

The structure in CIF format:
```
data_InIOF2
_chemical_formula_sum 'In1 I1 O1 F2'
_space_group_name_H-M_alt 'P 4/m m m'
_space_group_IT_number 123
_space_group_name_Hall '-P 4 2'
_cell_length_a 4.899
_cell_length_b 4.899
_cell_length_c 4.073
_cell_angle_alpha 90.00
_cell_angle_beta 90.00
_cell_angle_gamma 90.00
loop_
_atom_site_label
_atom_site_type_symbol
_atom_site_fract_x
_atom_site_fract_y
_atom_site_fract_z
_atom_site_occupancy
In1 In 0.000 0.000 0.000 1
I1 I 0.500 0.500 0.500 1
O1 O 0.500 0.500 0.000 1
F1 F 0.000 0.500 0.500 1
```



# 3
Compound: InOs2IF
Source: Alexandria
Functional: GGA-PBE
Structure: optimized geometry

Total magnetic moment (Bohr magnetons per cell): 4.390
E (eV per atom): -4.26

The structure in CIF format:
```
data_InOs2IF
_chemical_formula_sum 'In1 Os2 I1 F1'
_space_group_name_H-M_alt 'P 4/m m m'
_space_group_IT_number 123
_space_group_name_Hall '-P 4 2'
_cell_length_a 5.142
_cell_length_b 5.142
_cell_length_c 4.315
_cell_angle_alpha 90.00
_cell_angle_beta 90.00
_cell_angle_gamma 90.00
loop_
_atom_site_label
_atom_site_type_symbol
_atom_site_fract_x
_atom_site_fract_y
_atom_site_fract_z
_atom_site_occupancy
In1 In 0.000 0.000 0.000 1
Os1 Os 0.000 0.500 0.000 1
I1 I 0.500 0.500 0.500 1
F1 F 0.000 0.000 0.500 1
```



# 4
Compound: InPbIF4
Source: Alexandria
Functional: GGA-PBE
Structure: optimized geometry

Total magnetic moment (Bohr magnetons per cell): 0.000
E (eV per atom): -4.20

The structure in CIF format:
```
data_InPbIF4
_chemical_formula_sum 'In4 Pb4 I4 F16'
_space_group_name_H-M_alt 'C 1 2/m 1'
_space_group_IT_number 12
_cell_length_a 12.120
_cell_length_b 7.479
_cell_length_c 8.054
_cell_angle_alpha 90.00
_cell_angle_beta 116.19
_cell_angle_gamma 90.00
loop_
_space_group_symop_operation_xyz
'x,y,z'
'-x,-y,-z'
'-x,y,-z'
'x,-y,z'
'x+1/2,y+1/2,z'
'-x+1/2,-y+1/2,-z'
'-x+1/2,y+1/2,-z'
'x+1/2,-y+1/2,z'
loop_
_atom_site_label
_atom_site_type_symbol
_atom_site_fract_x
_atom_site_fract_y
_atom_site_fract_z
_atom_site_occupancy
In1 In 0.184 0.000 0.328 1
Pb1 Pb 0.208 0.000 0.855 1
I1 I 0.091 0.500 0.355 1
F1 F 0.005 0.000 0.832 1
F2 F 0.120 0.000 0.534 1
F3 F 0.226 0.186 0.166 1
```



What is the total magnetic moment in the first record? 0.000 Bohr magnetons per cell